First-principles (PBE) data for an optimized crystal structure of TmZrCoOs, as listed in the Alexandria database.

Results
For the energy above the most stable polymorph in this dataset, the calculation gives 0.000 eV/atom. The symmetry is No. 99. For the density of states at the Fermi level, the calculation gives 1.402 states/eV/cell. The calculated formation energy is -0.36 eV/atom.

Structure (POSCAR):
```
TmZrCoOs
1.0
3.292 0.000 0.000
0.000 3.292 0.000
0.000 0.000 6.544
Os Zr Co Tm
1 1 1 1
Cartesian
1.646 1.646 0.807
0.000 0.000 2.370
1.646 1.646 3.859
0.000 0.000 5.581
```



First-principles (PBE) data for an optimized crystal structure of TmZrCoOs, as listed in the Alexandria database.

Results
For the energy above the most stable polymorph in this dataset, the calculation gives 0.017 eV/atom. The symmetry is No. 216. For the density of states at the Fermi level, the calculation gives 1.988 states/eV/cell. The calculated formation energy is -0.34 eV/atom.

Structure (POSCAR):
```
TmZrCoOs
1.0
4.649 0.000 0.000
2.325 4.026 0.000
2.325 1.342 3.796
Co Tm Os Zr
1 1 1 1
Cartesian
6.974 4.026 2.847
0.000 0.000 0.000
2.325 1.342 0.949
4.649 2.684 1.898
```



First-principles (PBE) data for an optimized crystal structure of U2Co9Os, as listed in the Alexandria database.

Results
The symmetry is No. 123. For the density of states at the Fermi level, the calculation gives 11.943 states/eV/cell. The calculated formation energy is -0.08 eV/atom.

Structure (POSCAR):
```
U2Co9Os
1.0
3.707 0.000 0.000
0.000 3.707 0.000
0.000 0.000 11.003
Co U Os
9 2 1
Cartesian
1.854 1.854 7.396
1.854 1.854 3.607
1.854 1.854 0.000
0.000 1.854 1.716
0.000 1.854 9.288
1.854 0.000 5.502
1.854 0.000 1.716
1.854 0.000 9.288
0.000 1.854 5.502
0.000 0.000 7.388
0.000 0.000 3.615
0.000 0.000 0.000
```



First-principles (PBE) data for an optimized crystal structure of UZnCoOs, as listed in the Alexandria database.

Results
The symmetry is No. 216. For the density of states at the Fermi level, the calculation gives 4.815 states/eV/cell. The calculated formation energy is 0.04 eV/atom.

Structure (POSCAR):
```
UZnCoOs
1.0
-1.601 2.832 -3.109
-4.038 1.907 0.559
-0.306 4.398 0.907
Zn U Co Os
1 1 1 1
Cartesian
0.000 0.000 0.000
-2.973 4.568 -0.822
-4.459 6.853 -1.233
-1.486 2.284 -0.411
```